No. 1
# CaSnSb2 | Alexandria | PBE | optimized geometry
data_CaSnSb2
_chemical_formula_sum 'Ca1 Sn1 Sb2'
_cell_length_a 5.0541
_cell_length_b 5.0541
_cell_length_c 4.3378
_cell_angle_alpha 90.00
_cell_angle_beta 90.00
_cell_angle_gamma 90.00
_space_group_name_H-M_alt 'P 4/m m m'
_space_group_IT_number 123
_space_group_name_Hall '-P 4 2'
loop_
_atom_site_label
_atom_site_fract_x
_atom_site_fract_y
_atom_site_fract_z
Ca1 0.0000 0.0000 0.0000
Sn1 0.5000 0.5000 0.0000
Sb1 0.0000 0.5000 0.5000
# Uncorrected formation energy (meV/atom): -392

---

No. 2
# Rb5Pd2F12 | Alexandria | PBE | optimized geometry
data_Rb5Pd2F12
_chemical_formula_sum 'Rb10 Pd4 F24'
_cell_length_a 14.9042
_cell_length_b 6.7817
_cell_length_c 8.8044
_cell_angle_alpha 90.00
_cell_angle_beta 107.22
_cell_angle_gamma 90.00
_space_group_name_H-M_alt 'C 1 2/m 1'
_space_group_IT_number 12
loop_
_space_group_symop_operation_xyz
'x,y,z'
'-x,-y,-z'
'-x,y,-z'
'x,-y,z'
'x+1/2,y+1/2,z'
'-x+1/2,-y+1/2,-z'
'-x+1/2,y+1/2,-z'
'x+1/2,-y+1/2,z'
loop_
_atom_site_label
_atom_site_fract_x
_atom_site_fract_y
_atom_site_fract_z
Rb1 0.0000 0.0000 0.0000
Rb2 0.1962 0.5000 0.8719
Rb3 0.1987 0.5000 0.3332
Pd1 0.0000 0.2490 0.5000
F1 0.9995 0.5000 0.3599
F2 0.0013 0.0000 0.6403
F3 0.1371 0.2525 0.5653
F4 0.1530 0.2484 0.0852
# Uncorrected formation energy (meV/atom): -2021

---

No. 3
# Li2Ca2PmSi2 | Alexandria | PBE | optimized geometry
data_Li2Ca2PmSi2
_chemical_formula_sum 'Li6 Ca6 Pm3 Si6'
_cell_length_a 4.4586
_cell_length_b 4.4586
_cell_length_c 30.6888
_cell_angle_alpha 90.00
_cell_angle_beta 90.00
_cell_angle_gamma 120.00
_space_group_name_H-M_alt 'R -3 m'
_space_group_IT_number 166
_space_group_name_Hall '-R 3 2"'
loop_
_atom_site_label
_atom_site_fract_x
_atom_site_fract_y
_atom_site_fract_z
Li1 0.0000 0.0000 0.1091
Ca1 0.0000 0.0000 0.3826
Pm1 0.0000 0.0000 0.5000
Si1 0.0000 0.0000 0.2253
# Uncorrected formation energy (meV/atom): -378

---

No. 4
# MgAg2C | Alexandria | PBE | optimized geometry
data_MgAg2C
_chemical_formula_sum 'Mg4 Ag8 C4'
_cell_length_a 4.9843
_cell_length_b 4.9843
_cell_length_c 12.9355
_cell_angle_alpha 90.00
_cell_angle_beta 90.00
_cell_angle_gamma 90.00
_space_group_name_H-M_alt 'I -4 2 d'
_space_group_IT_number 122
_space_group_name_Hall 'I -4 2bw'
loop_
_atom_site_label
_atom_site_fract_x
_atom_site_fract_y
_atom_site_fract_z
Mg1 0.0000 0.0000 0.0000
Ag1 0.1132 0.2500 0.6250
C1 0.0000 0.0000 0.5000
# Formation energy (eV per formula unit): 4.3
# Excess energy over the best structure of this formula in the dataset (eV/atom): 0.000

---

| no. | magnetization (μB per cell) |
| --- | --- |
| 1 | 0.000 |
| 2 | 1.610 |
| 3 | 1.771 |
| 4 | 0.000 |